# 1
A plane-wave DFT calculation with PBE-GGA was carried out for crystalline Tl2BiAs2 at its relaxed geometry.

Unit cell a=4.3608 b=4.3608 c=8.0460 alpha=74.28 beta=74.28 gamma=90.00
Sites, in units of the cell vectors:
Tl (0.7500, 0.2500, 0.5000)
Bi (0.0000, 0.0000, 0.0000)
As (0.5827, 0.5827, 0.8345)
As (0.4173, 0.4173, 0.1655)
Tl (0.2500, 0.7500, 0.5000)

Properties
ρ	9.02	g/cm3
symmetry	I4/mmm
N(E_F)	0.580	states/eV per atom
formation energy from the elements	0.227	eV/atom
volume	141.3	Å³/f.u.



# 2
A plane-wave DFT calculation with PBE-GGA was carried out for crystalline Tm4SnPdRu2 at its relaxed geometry.

Unit cell a=4.8932 b=4.8932 c=8.5567 alpha=73.39 beta=73.39 gamma=60.00
Sites, in units of the cell vectors:
Tm (0.8707, 0.8707, 0.3879)
Pd (0.5000, 0.5000, 0.5000)
Tm (0.3812, 0.3812, 0.8564)
Ru (0.7493, 0.7493, 0.7520)
Tm (0.6188, 0.6188, 0.1436)
Sn (0.0000, 0.0000, 0.0000)
Ru (0.2507, 0.2507, 0.2480)
Tm (0.1293, 0.1293, 0.6121)

Properties
ρ	10.94	g/cm3
symmetry	R-3m
N(E_F)	0.535	states/eV per atom
formation energy from the elements	-0.585	eV/atom
volume	167.5	Å³/f.u.



# 3
A plane-wave DFT calculation with PBE-GGA was carried out for crystalline NaZnCd2Au at its relaxed geometry.

Unit cell a=5.3219 b=5.3219 c=4.9671 alpha=90.00 beta=90.00 gamma=90.00
Sites, in units of the cell vectors:
Cd (0.5000, 0.0000, 0.0000)
Na (0.5000, 0.5000, 0.5000)
Cd (0.0000, 0.5000, 0.0000)
Zn (0.0000, 0.0000, 0.5000)
Au (0.0000, 0.0000, 0.0000)

Properties
ρ	6.02	g/cm3
symmetry	P4/mmm
N(E_F)	0.404	states/eV per atom
formation energy from the elements	-0.016	eV/atom
volume	140.7	Å³/f.u.